[1]
Below is a relaxed SrGeSbPd2 crystal, with properties calculated at the GGA-PBE level.

Computed properties:
total energy	-49.0	eV/cell

a b c (Å): 4.5530 4.5530 10.6286
angles (deg): 90.00 90.00 90.00
Closest atoms and distances in Å follow each position.
Fractional positions:
Sr1 0.2500 0.2500 0.2431  4 Ge 3.44, 4 Sb 3.47, 9 Pd 3.51-3.78
Sr2 0.7500 0.7500 0.7569  4 Ge 3.44, 4 Sb 3.47, 9 Pd 3.51-3.78
Ge1 0.2500 0.7500 0.0000  4 Pd 2.57
Ge2 0.7500 0.2500 0.0000  4 Pd 2.57
Sb1 0.2500 0.2500 0.6358  5 Pd 2.68-2.70
Sb2 0.7500 0.7500 0.3642  5 Pd 2.68-2.70
Pd1 0.2500 0.2500 0.8876  4 Ge 2.57, 1 Sb 2.68
Pd2 0.2500 0.7500 0.5000  4 Sb 2.70
Pd3 0.7500 0.2500 0.5000  4 Sb 2.70
Pd4 0.7500 0.7500 0.1124  4 Ge 2.57, 1 Sb 2.68

=====

[2]
Below is a relaxed Sc2GePd crystal, with properties calculated at the GGA-PBE level.

Computed properties:
total energy	-24.2	eV/cell

a b c (Å): 4.6733 4.6733 4.6733
angles (deg): 60.00 60.00 60.00
Closest atoms and distances in Å follow each position.
Fractional positions:
Sc1 0.0000 0.0000 0.0000  4 Sc 2.86, 4 Pd 2.86
Sc2 0.2500 0.2500 0.2500  4 Ge 2.86, 4 Sc 2.86
Ge1 0.5000 0.5000 0.5000  4 Pd 2.86, 4 Sc 2.86
Pd1 0.7500 0.7500 0.7500  4 Ge 2.86, 4 Sc 2.86

=====

[3]
Below is a relaxed ScGePd crystal, with properties calculated at the GGA-PBE level.

Computed properties:
total energy	-54.4	eV/cell

a b c (Å): 7.5232 7.5232 3.2187
angles (deg): 90.00 90.00 120.00
Closest atoms and distances in Å follow each position.
Fractional positions:
Sc1 0.0000 0.2879 0.0000  4 Ge 2.69-2.70, 4 Pd 2.98
Sc2 0.2879 0.0000 0.0000  4 Ge 2.69-2.70, 4 Pd 2.98
Sc3 0.7121 0.7121 0.0000  4 Ge 2.69-2.70, 4 Pd 2.98
Ge1 0.0000 0.0000 0.5000  6 Sc 2.70, 3 Pd 2.76
Ge2 0.3333 0.6667 0.0000  3 Sc 2.69, 6 Pd 2.88
Ge3 0.6667 0.3333 0.0000  3 Sc 2.69, 6 Pd 2.88
Pd1 0.0000 0.6336 0.5000  5 Ge 2.76-2.88, 6 Sc 2.98-3.06
Pd2 0.3664 0.3664 0.5000  5 Ge 2.76-2.88, 6 Sc 2.98-3.06
Pd3 0.6336 0.0000 0.5000  5 Ge 2.76-2.88, 6 Sc 2.98-3.06

=====

[4]
Below is a relaxed ScGePd crystal, with properties calculated at the GGA-PBE level.

Computed properties:
total energy	-56.2	eV/cell

a b c (Å): 7.2211 7.2211 3.4859
angles (deg): 90.00 90.00 120.00
Closest atoms and distances in Å follow each position.
Fractional positions:
Sc1 0.0000 0.6118 0.0000  5 Pd 2.80-2.83, 6 Ge 2.99-3.05
Sc2 0.3882 0.3882 0.0000  5 Pd 2.80-2.83, 6 Ge 2.99-3.05
Sc3 0.6118 0.0000 0.0000  5 Pd 2.80-2.83, 6 Ge 2.99-3.05
Ge1 0.0000 0.2751 0.5000  4 Pd 2.64
Ge2 0.2751 0.0000 0.5000  4 Pd 2.64
Ge3 0.7249 0.7249 0.5000  4 Pd 2.64
Pd1 0.0000 0.0000 0.0000  6 Ge 2.64, 3 Sc 2.80
Pd2 0.3333 0.6667 0.5000  3 Ge 2.64, 6 Sc 2.83
Pd3 0.6667 0.3333 0.5000  3 Ge 2.64, 6 Sc 2.83

=====

[5]
Below is a relaxed Sc2Ge2Pd crystal, with properties calculated at the GGA-PBE level.

Computed properties:
total energy	-62.9	eV/cell

a b c (Å): 6.6095 6.6095 4.1453
angles (deg): 90.00 90.00 90.00
Closest atoms and distances in Å follow each position.
Fractional positions:
Sc1 0.1688 0.3312 0.0000  6 Ge 2.75-2.91
Sc2 0.3312 0.8312 0.0000  6 Ge 2.75-2.91
Sc3 0.6688 0.1688 0.0000  6 Ge 2.75-2.91
Sc4 0.8312 0.6688 0.0000  6 Ge 2.75-2.91
Ge1 0.1378 0.6378 0.5000  2 Pd 2.56, 1 Ge 2.58, 2 Sc 2.75
Ge2 0.3622 0.1378 0.5000  2 Pd 2.56, 1 Ge 2.58, 2 Sc 2.75
Ge3 0.6378 0.8622 0.5000  2 Pd 2.56, 1 Ge 2.58, 2 Sc 2.75
Ge4 0.8622 0.3622 0.5000  2 Pd 2.56, 1 Ge 2.58, 2 Sc 2.75
Pd1 0.0000 0.0000 0.5000  4 Ge 2.56
Pd2 0.5000 0.5000 0.5000  4 Ge 2.56

=====

[6]
Below is a relaxed ScGePd crystal, with properties calculated at the GGA-PBE level.

Computed properties:
total energy	-56.8	eV/cell

a b c (Å): 6.7618 6.7618 3.9528
angles (deg): 90.00 90.00 120.00
Closest atoms and distances in Å follow each position.
Fractional positions:
Sc1 0.0000 0.5762 0.0000  5 Ge 2.83-2.87, 2 Pd 2.96
Sc2 0.4238 0.4238 0.0000  5 Ge 2.83-2.87, 2 Pd 2.96
Sc3 0.5762 0.0000 0.0000  5 Ge 2.83-2.87, 2 Pd 2.96
Ge1 0.0000 0.0000 0.0000  6 Pd 2.60, 3 Sc 2.87
Ge2 0.3333 0.6667 0.5000  3 Pd 2.58, 6 Sc 2.83
Ge3 0.6667 0.3333 0.5000  3 Pd 2.58, 6 Sc 2.83
Pd1 0.0000 0.2494 0.5000  4 Ge 2.58-2.60
Pd2 0.2494 0.0000 0.5000  4 Ge 2.58-2.60
Pd3 0.7506 0.7506 0.5000  4 Ge 2.58-2.60

=====

[7]
Below is a relaxed ZrSc2Ge4Pd4 crystal, with properties calculated at the GGA-PBE level.

Computed properties:
total energy	-69.3	eV/cell

a b c (Å): 7.8919 7.8919 7.8919
angles (deg): 150.44 127.34 61.55
Closest atoms and distances in Å follow each position.
Fractional positions:
Zr1 0.0000 0.0000 0.0000  6 Ge 2.94
Sc1 0.3770 0.8770 0.5000  6 Ge 2.94-2.96, 6 Pd 2.98-3.09
Sc2 0.6230 0.1230 0.5000  6 Ge 2.94-2.96, 6 Pd 2.98-3.09
Ge1 0.2166 0.2166 0.0000  6 Pd 2.53-2.55
Ge2 0.3069 0.5000 0.8069  2 Pd 2.48, 1 Ge 2.70
Ge3 0.6931 0.5000 0.1931  2 Pd 2.48, 1 Ge 2.70
Ge4 0.7834 0.7834 0.0000  6 Pd 2.53-2.55
Pd1 0.0286 0.3253 0.7033  4 Ge 2.48-2.55
Pd2 0.3780 0.6747 0.7033  4 Ge 2.48-2.55
Pd3 0.6220 0.3253 0.2967  4 Ge 2.48-2.55
Pd4 0.9714 0.6747 0.2967  4 Ge 2.48-2.55

=====

[8]
Below is a relaxed Ge4PdSe3 crystal, with properties calculated at the GGA-PBE level.

Computed properties:
total energy	-35.1	eV/cell

a b c (Å): 6.6022 3.6426 7.4325
angles (deg): 90.00 97.71 90.00
Closest atoms and distances in Å follow each position.
Fractional positions:
Ge1 0.0000 0.0000 0.0000  2 Pd 2.64, 3 Se 2.68-2.86
Ge2 0.1940 0.5000 0.4670  2 Se 2.55, 1 Pd 2.57
Ge3 0.5621 0.5000 0.9755  3 Se 2.55-2.59, 1 Pd 2.59
Ge4 0.7629 0.0000 0.4392  3 Se 2.53-2.83, 2 Pd 2.62
Pd1 0.8800 0.5000 0.2211  6 Ge 2.57-2.64
Se1 0.3290 0.0000 0.8242  3 Ge 2.55-2.68
Se2 0.3860 0.0000 0.3205  3 Ge 2.53-2.55
Se3 0.8086 0.5000 0.7324  5 Ge 2.59-2.86

=====

[9]
Below is a relaxed GeTe2PdSe crystal, with properties calculated at the GGA-PBE level.

Computed properties:
total energy	-41.0	eV/cell

a b c (Å): 8.1494 8.1494 9.9658
angles (deg): 106.19 106.19 27.75
Closest atoms and distances in Å follow each position.
Fractional positions:
Ge1 0.0810 0.0810 0.3015  1 Se 2.42, 3 Te 2.61-2.68
Ge2 0.9190 0.9190 0.6985  1 Se 2.42, 3 Te 2.61-2.68
Te1 0.1855 0.1855 0.1327  2 Pd 2.63, 1 Ge 2.68
Te2 0.3689 0.3689 0.5198  2 Ge 2.61
Te3 0.6311 0.6311 0.4802  2 Ge 2.61
Te4 0.8145 0.8145 0.8673  2 Pd 2.63, 1 Ge 2.68
Pd1 0.3816 0.3816 0.0416  2 Se 2.53, 2 Te 2.63
Pd2 0.6184 0.6184 0.9584  2 Se 2.53, 2 Te 2.63
Se1 0.0782 0.0782 0.7917  1 Ge 2.42, 2 Pd 2.53
Se2 0.9218 0.9218 0.2083  1 Ge 2.42, 2 Pd 2.53

=====

[10]
Below is a relaxed SiGe2Pd6 crystal, with properties calculated at the GGA-PBE level.

Computed properties:
total energy	-51.2	eV/cell

a b c (Å): 6.6933 6.6933 3.4987
angles (deg): 90.00 90.00 120.00
Closest atoms and distances in Å follow each position.
Fractional positions:
Si1 0.0000 0.0000 0.0000  9 Pd 2.46-2.61
Ge1 0.3333 0.6667 0.5000  9 Pd 2.52-2.71
Ge2 0.6667 0.3333 0.5000  9 Pd 2.52-2.71
Pd1 0.0000 0.2583 0.5000  2 Si 2.46, 2 Ge 2.52
Pd2 0.0000 0.6093 0.0000  1 Si 2.61, 4 Ge 2.71, 4 Pd 2.89
Pd3 0.2583 0.0000 0.5000  2 Si 2.46, 2 Ge 2.52
Pd4 0.3907 0.3907 0.0000  1 Si 2.61, 4 Ge 2.71, 4 Pd 2.89
Pd5 0.6093 0.0000 0.0000  1 Si 2.61, 4 Ge 2.71, 4 Pd 2.89
Pd6 0.7417 0.7417 0.5000  2 Si 2.46, 2 Ge 2.52

=====

[11]
Below is a relaxed Si3GePd4 crystal, with properties calculated at the GGA-PBE level.

Computed properties:
total energy	-45.7	eV/cell

a b c (Å): 5.7162 3.4527 6.2620
angles (deg): 90.00 90.08 90.00
Closest atoms and distances in Å follow each position.
Fractional positions:
Si1 0.0000 0.0000 0.0000  6 Pd 2.46-2.64
Si2 0.1392 0.5000 0.4968  6 Pd 2.46-2.57
Si3 0.4990 0.0000 0.3558  6 Pd 2.46-2.61
Ge1 0.6402 0.5000 0.8527  6 Pd 2.54-2.65, 2 Si 2.84
Pd1 0.3104 0.5000 0.1241  5 Si 2.50-2.59, 1 Ge 2.54
Pd2 0.3138 0.0000 0.7307  4 Si 2.46-2.58, 2 Ge 2.65
Pd3 0.8166 0.5000 0.2372  5 Si 2.46-2.61, 1 Ge 2.61
Pd4 0.8291 0.0000 0.6086  4 Si 2.46-2.64, 2 Ge 2.55

=====

[12]
Below is a relaxed Si17Ge14Pd crystal, with properties calculated at the GGA-PBE level.

Computed properties:
total energy	-161.0	eV/cell

a b c (Å): 5.5933 3.9455 31.4271
angles (deg): 90.00 90.08 90.00
Closest atoms and distances in Å follow each position.
Fractional positions:
Si1 0.0000 0.0000 0.0000  1 Pd 2.36, 2 Si 2.37, 1 Ge 2.44
Si2 0.0005 0.0000 0.2477  3 Si 2.37-2.38, 1 Ge 2.44
Si3 0.0015 0.0000 0.4984  3 Si 2.36-2.38, 1 Ge 2.42
Si4 0.0043 0.0000 0.7474  4 Si 2.38-2.39
Si5 0.0096 0.0000 0.1208  1 Pd 2.36, 3 Ge 2.41-2.45
Si6 0.0119 0.0000 0.8714  1 Si 2.37, 3 Ge 2.41-2.43
Si7 0.2508 0.0000 0.8092  2 Si 2.37-2.38, 2 Ge 2.42
Si8 0.2524 0.0000 0.5589  1 Si 2.36, 3 Ge 2.42
Si9 0.2525 0.0000 0.3082  1 Si 2.37, 3 Ge 2.41-2.42
Si10 0.2625 0.0000 0.6871  3 Si 2.38-2.39, 1 Ge 2.43
Si11 0.5037 0.5000 0.6869  3 Si 2.37-2.39, 1 Ge 2.42
Si12 0.5101 0.5000 0.1863  1 Si 2.36, 3 Ge 2.42
Si13 0.5120 0.5000 0.4369  1 Si 2.36, 3 Ge 2.41-2.42
Si14 0.7614 0.5000 0.2468  3 Si 2.36-2.38, 1 Ge 2.42
Si15 0.7621 0.5000 0.7466  3 Si 2.37-2.39, 1 Ge 2.43
Si16 0.7631 0.5000 0.4972  3 Si 2.36-2.38, 1 Ge 2.42
Si17 0.7665 0.5000 0.9983  2 Si 2.37, 2 Ge 2.41-2.42
Ge1 0.0125 0.0000 0.3720  1 Si 2.41, 3 Ge 2.45-2.48
Ge2 0.0157 0.0000 0.6234  2 Si 2.42-2.43, 2 Ge 2.46
Ge3 0.2498 0.0000 0.9364  2 Si 2.43-2.44, 2 Ge 2.46
Ge4 0.2588 0.0000 0.1850  4 Si 2.42-2.45
Ge5 0.2628 0.0000 0.4370  3 Si 2.42, 1 Ge 2.48
Ge6 0.5017 0.5000 0.3083  3 Si 2.42, 1 Ge 2.47
Ge7 0.5024 0.5000 0.8084  3 Si 2.42-2.43, 1 Ge 2.47
Ge8 0.5033 0.5000 0.0593  2 Pd 2.41, 1 Si 2.42, 1 Ge 2.49
Ge9 0.5027 0.5000 0.5586  3 Si 2.42, 1 Ge 2.48
Ge10 0.5117 0.5000 0.9365  1 Si 2.41, 3 Ge 2.46-2.47
Ge11 0.7516 0.5000 0.3733  1 Si 2.41, 3 Ge 2.45-2.47
Ge12 0.7518 0.5000 0.6239  1 Si 2.42, 3 Ge 2.46-2.48
Ge13 0.7619 0.5000 0.1238  3 Si 2.41-2.42, 1 Ge 2.49
Ge14 0.7633 0.5000 0.8720  2 Si 2.41, 2 Ge 2.47
Pd1 0.2557 0.0000 0.0599  2 Si 2.36, 2 Ge 2.41